# CaAs2C2 PBE-GGA optimized geometry
data_CaAs2C2
_chemical_formula_sum 'Ca2 As4 C4'
_space_group_name_H-M_alt 'P 4/m b m'
_space_group_IT_number 127
_space_group_name_Hall '-P 4 2ab'
_cell_length_a 7.1619
_cell_length_b 7.1619
_cell_length_c 3.1303
_cell_angle_alpha 90.00
_cell_angle_beta 90.00
_cell_angle_gamma 90.00
loop_
_atom_site_label
_atom_site_fract_x
_atom_site_fract_y
_atom_site_fract_z
_atom_site_occupancy
Ca1 0.0000 0.0000 0.0000 1
As1 0.1213 0.3787 0.0000 1
C1 0.1302 0.6302 0.5000 1
# Fermi-level density of states (states/eV/cell): 5.46
# Raw total energy (eV per atom): -4.435
# Formation enthalpy at 0 K (meV per atom): 1515
# ΔE to the lowest computed polymorph (eV per formula unit): 3.81
# Theoretical density (g/cm3): 4.4


# CaAs2C2 PBE-GGA optimized geometry
data_CaAs2C2
_chemical_formula_sum 'Ca2 As4 C4'
_space_group_name_H-M_alt 'I 4/m m m'
_space_group_IT_number 139
_space_group_name_Hall '-I 4 2'
_cell_length_a 4.0557
_cell_length_b 4.0557
_cell_length_c 9.3021
_cell_angle_alpha 90.00
_cell_angle_beta 90.00
_cell_angle_gamma 90.00
loop_
_atom_site_label
_atom_site_fract_x
_atom_site_fract_y
_atom_site_fract_z
_atom_site_occupancy
Ca1 0.0000 0.0000 0.0000 1
As1 0.0000 0.0000 0.3174 1
C1 0.0000 0.5000 0.2500 1
# Fermi-level density of states (states/eV/cell): 2.76
# Raw total energy (eV per atom): -5.197
# Formation enthalpy at 0 K (meV per atom): 753
# ΔE to the lowest computed polymorph (eV per formula unit): 0.00
# Theoretical density (g/cm3): 4.6


# CsCaAs2C PBE-GGA optimized geometry
data_CsCaAs2C
_chemical_formula_sum 'Cs1 Ca1 As2 C1'
_space_group_name_H-M_alt 'P 4/m m m'
_space_group_IT_number 123
_space_group_name_Hall '-P 4 2'
_cell_length_a 4.8951
_cell_length_b 4.8951
_cell_length_c 4.9296
_cell_angle_alpha 90.00
_cell_angle_beta 90.00
_cell_angle_gamma 90.00
loop_
_atom_site_label
_atom_site_fract_x
_atom_site_fract_y
_atom_site_fract_z
_atom_site_occupancy
Cs1 0.0000 0.0000 0.0000 1
Ca1 0.5000 0.5000 0.0000 1
As1 0.0000 0.5000 0.5000 1
C1 0.5000 0.5000 0.5000 1
# Fermi-level density of states (states/eV/cell): 2.80
# Raw total energy (eV per atom): -3.700
# Formation enthalpy at 0 K (meV per atom): 575
# Theoretical density (g/cm3): 4.7


# CaAsHC2 PBE-GGA optimized geometry
data_CaAsHC2
_chemical_formula_sum 'Ca1 As1 H1 C2'
_space_group_name_H-M_alt 'P 4/m m m'
_space_group_IT_number 123
_space_group_name_Hall '-P 4 2'
_cell_length_a 4.5039
_cell_length_b 4.5039
_cell_length_c 3.7130
_cell_angle_alpha 90.00
_cell_angle_beta 90.00
_cell_angle_gamma 90.00
loop_
_atom_site_label
_atom_site_fract_x
_atom_site_fract_y
_atom_site_fract_z
_atom_site_occupancy
Ca1 0.0000 0.0000 0.0000 1
As1 0.5000 0.5000 0.5000 1
H1 0.0000 0.0000 0.5000 1
C1 0.0000 0.5000 0.0000 1
# Fermi-level density of states (states/eV/cell): 3.11
# Raw total energy (eV per atom): -3.414
# Theoretical density (g/cm3): 3.1


# CaHg2AsC PBE-GGA optimized geometry
data_CaHg2AsC
_chemical_formula_sum 'Ca1 Hg2 As1 C1'
_space_group_name_H-M_alt 'P 4/m m m'
_space_group_IT_number 123
_space_group_name_Hall '-P 4 2'
_cell_length_a 5.7375
_cell_length_b 5.7375
_cell_length_c 3.8133
_cell_angle_alpha 90.00
_cell_angle_beta 90.00
_cell_angle_gamma 90.00
loop_
_atom_site_label
_atom_site_fract_x
_atom_site_fract_y
_atom_site_fract_z
_atom_site_occupancy
Ca1 0.0000 0.0000 0.0000 1
Hg1 0.0000 0.5000 0.5000 1
As1 0.5000 0.5000 0.5000 1
C1 0.5000 0.5000 0.0000 1
# Fermi-level density of states (states/eV/cell): 2.86
# Raw total energy (eV per atom): -2.565
# Formation enthalpy at 0 K (meV per atom): 730
# Theoretical density (g/cm3): 7.0


# CaNiAsC2 PBE-GGA optimized geometry
data_CaNiAsC2
_chemical_formula_sum 'Ca1 Ni1 As1 C2'
_space_group_name_H-M_alt 'P 4/m m m'
_space_group_IT_number 123
_space_group_name_Hall '-P 4 2'
_cell_length_a 4.3284
_cell_length_b 4.3284
_cell_length_c 5.2989
_cell_angle_alpha 90.00
_cell_angle_beta 90.00
_cell_angle_gamma 90.00
loop_
_atom_site_label
_atom_site_fract_x
_atom_site_fract_y
_atom_site_fract_z
_atom_site_occupancy
Ca1 0.0000 0.0000 0.0000 1
Ni1 0.5000 0.5000 0.5000 1
As1 0.0000 0.0000 0.5000 1
C1 0.0000 0.5000 0.0000 1
# Fermi-level density of states (states/eV/cell): 6.30
# Raw total energy (eV per atom): -3.368
# Formation enthalpy at 0 K (meV per atom): 2808
# Theoretical density (g/cm3): 3.3


# Ca2As2Ru2C PBE-GGA optimized geometry
data_Ca2As2Ru2C
_chemical_formula_sum 'Ca4 As4 Ru4 C2'
_space_group_name_H-M_alt 'C 1 2/m 1'
_space_group_IT_number 12
_cell_length_a 11.2571
_cell_length_b 4.0578
_cell_length_c 6.9818
_cell_angle_alpha 90.00
_cell_angle_beta 124.97
_cell_angle_gamma 90.00
loop_
_space_group_symop_operation_xyz
'x,y,z'
'-x,-y,-z'
'-x,y,-z'
'x,-y,z'
'x+1/2,y+1/2,z'
'-x+1/2,-y+1/2,-z'
'-x+1/2,y+1/2,-z'
'x+1/2,-y+1/2,z'
loop_
_atom_site_label
_atom_site_fract_x
_atom_site_fract_y
_atom_site_fract_z
_atom_site_occupancy
Ca1 0.0592 0.0000 0.2968 1
As1 0.1742 0.5000 0.7079 1
Ru1 0.1875 0.5000 0.0733 1
C1 0.0000 0.5000 0.0000 1
# Fermi-level density of states (states/eV/cell): 5.77
# Raw total energy (eV per atom): -6.475
# Formation enthalpy at 0 K (meV per atom): -607
# Theoretical density (g/cm3): 5.6


# CaAsCSe2 PBE-GGA optimized geometry
data_CaAsCSe2
_chemical_formula_sum 'Ca1 As1 C1 Se2'
_space_group_name_H-M_alt 'P 4/m m m'
_space_group_IT_number 123
_space_group_name_Hall '-P 4 2'
_cell_length_a 4.9574
_cell_length_b 4.9574
_cell_length_c 4.0533
_cell_angle_alpha 90.00
_cell_angle_beta 90.00
_cell_angle_gamma 90.00
loop_
_atom_site_label
_atom_site_fract_x
_atom_site_fract_y
_atom_site_fract_z
_atom_site_occupancy
Ca1 0.0000 0.0000 0.0000 1
As1 0.5000 0.5000 0.0000 1
C1 0.5000 0.5000 0.5000 1
Se1 0.0000 0.5000 0.5000 1
# Fermi-level density of states (states/eV/cell): 2.63
# Raw total energy (eV per atom): -4.273
# ΔE to the lowest computed polymorph (eV per formula unit): 0.00
# Formation energy without anion corrections (eV per formula unit): 1.477
# Theoretical density (g/cm3): 4.7


# CaAsCSe2 PBE-GGA optimized geometry
data_CaAsCSe2
_chemical_formula_sum 'Ca1 As1 C1 Se2'
_space_group_name_H-M_alt 'P 4/m m m'
_space_group_IT_number 123
_space_group_name_Hall '-P 4 2'
_cell_length_a 5.3578
_cell_length_b 5.3578
_cell_length_c 5.4635
_cell_angle_alpha 90.00
_cell_angle_beta 90.00
_cell_angle_gamma 90.00
loop_
_atom_site_label
_atom_site_fract_x
_atom_site_fract_y
_atom_site_fract_z
_atom_site_occupancy
Ca1 0.0000 0.0000 0.0000 1
As1 0.0000 0.0000 0.5000 1
C1 0.5000 0.5000 0.5000 1
Se1 0.0000 0.5000 0.0000 1
# Fermi-level density of states (states/eV/cell): 8.63
# Raw total energy (eV per atom): -2.746
# ΔE to the lowest computed polymorph (eV per formula unit): 7.64
# Formation energy without anion corrections (eV per formula unit): 9.113
# Theoretical density (g/cm3): 3.0


# CaSiAs2C PBE-GGA optimized geometry
data_CaSiAs2C
_chemical_formula_sum 'Ca1 Si1 As2 C1'
_space_group_name_H-M_alt 'P 4/m m m'
_space_group_IT_number 123
_space_group_name_Hall '-P 4 2'
_cell_length_a 5.3134
_cell_length_b 5.3134
_cell_length_c 4.3732
_cell_angle_alpha 90.00
_cell_angle_beta 90.00
_cell_angle_gamma 90.00
loop_
_atom_site_label
_atom_site_fract_x
_atom_site_fract_y
_atom_site_fract_z
_atom_site_occupancy
Ca1 0.0000 0.0000 0.0000 1
Si1 0.5000 0.5000 0.5000 1
As1 0.0000 0.5000 0.0000 1
C1 0.0000 0.0000 0.5000 1
# Fermi-level density of states (states/eV/cell): 4.03
# Raw total energy (eV per atom): -3.343
# Formation energy without anion corrections (eV per formula unit): 9.231
# Theoretical density (g/cm3): 3.1


# Ca2TcAsC PBE-GGA optimized geometry
data_Ca2TcAsC
_chemical_formula_sum 'Ca2 Tc1 As1 C1'
_space_group_name_H-M_alt 'P 4/m m m'
_space_group_IT_number 123
_space_group_name_Hall '-P 4 2'
_cell_length_a 5.5080
_cell_length_b 5.5080
_cell_length_c 4.6243
_cell_angle_alpha 90.00
_cell_angle_beta 90.00
_cell_angle_gamma 90.00
loop_
_atom_site_label
_atom_site_fract_x
_atom_site_fract_y
_atom_site_fract_z
_atom_site_occupancy
Ca1 0.0000 0.5000 0.0000 1
Tc1 0.0000 0.0000 0.0000 1
As1 0.0000 0.0000 0.5000 1
C1 0.5000 0.5000 0.5000 1
# Fermi-level density of states (states/eV/cell): 2.83
# Raw total energy (eV per atom): -4.522
# Formation enthalpy at 0 K (meV per atom): 1126
# Theoretical density (g/cm3): 3.1


# CaAsWC2 PBE-GGA optimized geometry
data_CaAsWC2
_chemical_formula_sum 'Ca1 As1 W1 C2'
_space_group_name_H-M_alt 'P 4/m m m'
_space_group_IT_number 123
_space_group_name_Hall '-P 4 2'
_cell_length_a 4.1147
_cell_length_b 4.1147
_cell_length_c 5.1231
_cell_angle_alpha 90.00
_cell_angle_beta 90.00
_cell_angle_gamma 90.00
loop_
_atom_site_label
_atom_site_fract_x
_atom_site_fract_y
_atom_site_fract_z
_atom_site_occupancy
Ca1 0.0000 0.0000 0.0000 1
As1 0.0000 0.0000 0.5000 1
W1 0.5000 0.5000 0.5000 1
C1 0.0000 0.5000 0.0000 1
# Fermi-level density of states (states/eV/cell): 6.18
# Raw total energy (eV per atom): -4.557
# Formation enthalpy at 0 K (meV per atom): 3053
# Theoretical density (g/cm3): 6.2


# CaZr2AsC PBE-GGA optimized geometry
data_CaZr2AsC
_chemical_formula_sum 'Ca1 Zr2 As1 C1'
_space_group_name_H-M_alt 'P 4/m m m'
_space_group_IT_number 123
_space_group_name_Hall '-P 4 2'
_cell_length_a 4.5009
_cell_length_b 4.5009
_cell_length_c 4.8722
_cell_angle_alpha 90.00
_cell_angle_beta 90.00
_cell_angle_gamma 90.00
loop_
_atom_site_label
_atom_site_fract_x
_atom_site_fract_y
_atom_site_fract_z
_atom_site_occupancy
Ca1 0.0000 0.0000 0.0000 1
Zr1 0.0000 0.5000 0.5000 1
As1 0.5000 0.5000 0.0000 1
C1 0.0000 0.0000 0.5000 1
# Fermi-level density of states (states/eV/cell): 5.17
# Raw total energy (eV per atom): -6.934
# Formation enthalpy at 0 K (meV per atom): -340
# Theoretical density (g/cm3): 5.2


# CdAsC3 PBE-GGA optimized geometry
data_CdAsC3
_chemical_formula_sum 'Cd1 As1 C3'
_space_group_name_H-M_alt 'P m -3 m'
_space_group_IT_number 221
_space_group_name_Hall '-P 4 2 3'
_cell_length_a 3.9920
_cell_length_b 3.9920
_cell_length_c 3.9920
_cell_angle_alpha 90.00
_cell_angle_beta 90.00
_cell_angle_gamma 90.00
loop_
_atom_site_label
_atom_site_fract_x
_atom_site_fract_y
_atom_site_fract_z
_atom_site_occupancy
Cd1 0.0000 0.0000 0.0000 1
As1 0.5000 0.5000 0.5000 1
C1 0.0000 0.5000 0.5000 1
# Fermi-level density of states (states/eV/cell): 3.88
# Raw total energy (eV per atom): -4.121
# Formation enthalpy at 0 K (meV per atom): 2526
# ΔE to the lowest computed polymorph (eV per formula unit): 0.00
# Theoretical density (g/cm3): 5.8